(1)
Entry from the Alexandria database: an optimized crystal structure of LiInRu2 (PBE).

Output
DOS at the Fermi energy: 1.040 states/eV/atom
Calculated total energy: -5.52 eV/atom

The structure in CIF format:
```
data_LiInRu2
_chemical_formula_sum 'Li1 In1 Ru2'
_cell_length_a 3.196
_cell_length_b 3.196
_cell_length_c 5.858
_cell_angle_alpha 90.00
_cell_angle_beta 90.00
_cell_angle_gamma 90.00
_space_group_name_H-M_alt 'P 4/m m m'
_space_group_IT_number 123
_space_group_name_Hall '-P 4 2'
loop_
_atom_site_label
_atom_site_type_symbol
_atom_site_fract_x
_atom_site_fract_y
_atom_site_fract_z
Li1 Li 0.000 0.000 0.000
In1 In 0.000 0.000 0.500
Ru1 Ru 0.500 0.500 0.208
```

=====

(2)
Entry from the Alexandria database: an optimized crystal structure of LiIn3Ru (PBE).

Output
DOS at the Fermi energy: 0.325 states/eV/atom
ΔE to the lowest computed polymorph: 0 meV/atom

The structure in CIF format:
```
data_LiIn3Ru
_chemical_formula_sum 'Li1 In3 Ru1'
_cell_length_a 5.161
_cell_length_b 5.161
_cell_length_c 5.161
_cell_angle_alpha 90.00
_cell_angle_beta 90.00
_cell_angle_gamma 90.00
_space_group_name_H-M_alt 'P m -3 m'
_space_group_IT_number 221
_space_group_name_Hall '-P 4 2 3'
loop_
_atom_site_label
_atom_site_type_symbol
_atom_site_fract_x
_atom_site_fract_y
_atom_site_fract_z
Li1 Li 0.000 0.000 0.000
In1 In 0.000 0.500 0.500
Ru1 Ru 0.500 0.500 0.500
```

=====

(3)
Entry from the Alexandria database: an optimized crystal structure of LiInRu (PBE).

Output
DOS at the Fermi energy: 0.791 states/eV/atom
Calculated total energy: -4.56 eV/atom

The structure in CIF format:
```
data_LiInRu
_chemical_formula_sum 'Li2 In2 Ru2'
_cell_length_a 2.800
_cell_length_b 4.191
_cell_length_c 8.261
_cell_angle_alpha 90.00
_cell_angle_beta 90.00
_cell_angle_gamma 90.00
_space_group_name_H-M_alt 'I m m 2'
_space_group_IT_number 44
loop_
_space_group_symop_operation_xyz
'x,y,z'
'-x,-y,z'
'-x,y,z'
'x,-y,z'
'x+1/2,y+1/2,z+1/2'
'-x+1/2,-y+1/2,z+1/2'
'-x+1/2,y+1/2,z+1/2'
'x+1/2,-y+1/2,z+1/2'
loop_
_atom_site_label
_atom_site_type_symbol
_atom_site_fract_x
_atom_site_fract_y
_atom_site_fract_z
Li1 Li 0.000 0.000 0.000
In1 In 0.000 0.000 0.326
Ru1 Ru 0.000 0.000 0.666
```

=====

(4)
Entry from the Alexandria database: an optimized crystal structure of LiInRu2 (PBE).

Output
DOS at the Fermi energy: 0.255 states/eV/atom
Calculated total energy: -5.76 eV/atom

The structure in CIF format:
```
data_LiInRu2
_chemical_formula_sum 'Li1 In1 Ru2'
_cell_length_a 3.023
_cell_length_b 3.023
_cell_length_c 6.465
_cell_angle_alpha 90.00
_cell_angle_beta 90.00
_cell_angle_gamma 90.00
_space_group_name_H-M_alt 'P 4 m m'
_space_group_IT_number 99
loop_
_space_group_symop_operation_xyz
'x,y,z'
'-y,x,z'
'-x,-y,z'
'y,-x,z'
'-x,y,z'
'y,x,z'
'x,-y,z'
'-y,-x,z'
loop_
_atom_site_label
_atom_site_type_symbol
_atom_site_fract_x
_atom_site_fract_y
_atom_site_fract_z
Li1 Li 0.000 0.000 0.000
In1 In 0.500 0.500 0.745
Ru1 Ru 0.000 0.000 0.452
Ru2 Ru 0.500 0.500 0.218
```

=====

(5)
Entry from the Alexandria database: an optimized crystal structure of LiInRu2 (PBE).

Output
DOS at the Fermi energy: 1.222 states/eV/atom
Calculated total energy: -5.58 eV/atom

The structure in CIF format:
```
data_LiInRu2
_chemical_formula_sum 'Li1 In1 Ru2'
_cell_length_a 3.774
_cell_length_b 3.774
_cell_length_c 4.283
_cell_angle_alpha 90.00
_cell_angle_beta 90.00
_cell_angle_gamma 90.00
_space_group_name_H-M_alt 'P 4/m m m'
_space_group_IT_number 123
_space_group_name_Hall '-P 4 2'
loop_
_atom_site_label
_atom_site_type_symbol
_atom_site_fract_x
_atom_site_fract_y
_atom_site_fract_z
Li1 Li 0.000 0.000 0.000
In1 In 0.500 0.500 0.000
Ru1 Ru 0.000 0.500 0.500
```

=====

(6)
Entry from the Alexandria database: an optimized crystal structure of LiInRu2 (PBE).

Output
DOS at the Fermi energy: 1.012 states/eV/atom
Calculated total energy: -5.62 eV/atom

The structure in CIF format:
```
data_LiInRu2
_chemical_formula_sum 'Li1 In1 Ru2'
_cell_length_a 2.981
_cell_length_b 4.516
_cell_length_c 4.547
_cell_angle_alpha 90.00
_cell_angle_beta 90.00
_cell_angle_gamma 90.00
_space_group_name_H-M_alt 'P m m m'
_space_group_IT_number 47
loop_
_space_group_symop_operation_xyz
'x,y,z'
'-x,-y,-z'
'-x,-y,z'
'x,y,-z'
'x,-y,-z'
'-x,y,z'
'-x,y,-z'
'x,-y,z'
loop_
_atom_site_label
_atom_site_type_symbol
_atom_site_fract_x
_atom_site_fract_y
_atom_site_fract_z
Li1 Li 0.000 0.000 0.000
In1 In 0.500 0.500 0.000
Ru1 Ru 0.000 0.500 0.500
Ru2 Ru 0.500 0.000 0.500
```